# 1
# Tb3Sm4Th4

A relaxed Tb3Sm4Th4 crystal (PBE-GGA, Alexandria). Values from VASP.

Properties
The calculation puts the formation energy at 224 kJ/mol of formula units.

```
&SYSTEM
  ibrav = 0, nat = 11, ntyp = 3
/
ATOMIC_SPECIES
Tb 158.93 Tb.upf
Sm 150.36 Sm.upf
Th 232.04 Th.upf
CELL_PARAMETERS angstrom
-1.777 4.750 11.057
1.777 -4.750 11.057
1.777 4.750 -11.057
ATOMIC_POSITIONS angstrom
Tb 0.000 0.000 0.000
Tb 1.777 0.000 8.618
Tb 0.000 4.750 2.439
Sm 1.777 1.665 -3.168
Sm 1.777 1.665 3.168
Sm 0.000 3.085 7.889
Sm 0.000 3.085 14.224
Th 0.000 0.000 5.776
Th 1.777 2.999 0.000
Th 0.000 1.751 11.057
Th 0.000 0.000 16.338
```

# 2
# TaTiOs2W

A relaxed TaTiOs2W crystal (PBE-GGA, Alexandria). Values from VASP.

Properties
The calculation puts the formation energy at 801 kJ/mol of formula units.

```
&SYSTEM
  ibrav = 0, nat = 5, ntyp = 4
/
ATOMIC_SPECIES
Ta 180.95 Ta.upf
Ti 47.87 Ti.upf
Os 190.23 Os.upf
W 183.84 W.upf
CELL_PARAMETERS angstrom
4.687 0.000 0.000
0.000 4.687 0.000
0.000 0.000 4.568
ATOMIC_POSITIONS angstrom
Ta 0.000 0.000 0.000
Ti 2.343 2.343 0.000
Os 0.000 2.343 2.284
Os 2.343 0.000 2.284
W 2.343 2.343 2.284
```

# 3
# CrBr3

A relaxed CrBr3 crystal (PBE-GGA, Alexandria). Values from VASP.

```
&SYSTEM
  ibrav = 0, nat = 4, ntyp = 2
/
ATOMIC_SPECIES
Cr 52.00 Cr.upf
Br 79.90 Br.upf
CELL_PARAMETERS angstrom
2.566 -6.960 0.000
2.566 6.960 0.000
0.000 0.000 3.632
ATOMIC_POSITIONS angstrom
Cr 0.000 0.000 0.000
Br 2.566 5.217 1.816
Br 2.566 0.000 0.000
Br 2.566 -5.217 1.816
```

# 4
# NbPRh3

A relaxed NbPRh3 crystal (PBE-GGA, Alexandria). Values from VASP.

Properties
The calculation puts the formation energy at 600 kJ/mol of formula units. As for the excess energy over the best structure of this formula in the dataset: 25.13 kcal/mol of atoms.

```
&SYSTEM
  ibrav = 0, nat = 5, ntyp = 3
/
ATOMIC_SPECIES
Nb 92.91 Nb.upf
P 30.97 P.upf
Rh 102.91 Rh.upf
CELL_PARAMETERS angstrom
4.708 0.000 0.000
0.000 4.708 0.000
0.000 0.000 4.708
ATOMIC_POSITIONS angstrom
Nb 0.000 0.000 0.000
P 2.354 2.354 2.354
Rh 0.000 0.000 2.354
Rh 0.000 2.354 0.000
Rh 2.354 0.000 0.000
```

# 5
# K2TeAsSe4

A relaxed K2TeAsSe4 crystal (PBE-GGA, Alexandria). Values from VASP.

```
&SYSTEM
  ibrav = 0, nat = 16, ntyp = 4
/
ATOMIC_SPECIES
K 39.10 K.upf
Te 127.60 Te.upf
As 74.92 As.upf
Se 78.96 Se.upf
CELL_PARAMETERS angstrom
6.009 -6.018 0.000
6.009 6.018 0.000
-5.319 0.000 6.451
ATOMIC_POSITIONS angstrom
K 0.000 0.000 0.000
K -2.659 0.000 3.225
K 3.005 3.009 0.000
K 0.345 -3.009 3.225
Te 0.345 3.009 3.225
Te 3.005 -3.009 0.000
As 6.009 0.000 0.000
As 3.350 0.000 3.225
Se 3.127 2.756 3.195
Se 0.574 0.177 3.642
Se 6.232 2.756 0.030
Se 3.233 -0.177 0.417
Se 3.466 0.177 6.034
Se 0.468 -2.756 6.421
Se 6.126 -0.177 2.809
Se 3.573 -2.756 3.255
```

# 6
# Sr2Zn4PdPt3

A relaxed Sr2Zn4PdPt3 crystal (PBE-GGA, Alexandria). Values from VASP.

Properties
The calculation puts the formation energy at -650 kJ/mol of formula units.

```
&SYSTEM
  ibrav = 0, nat = 10, ntyp = 4
/
ATOMIC_SPECIES
Sr 87.62 Sr.upf
Zn 65.41 Zn.upf
Pd 106.42 Pd.upf
Pt 195.08 Pt.upf
CELL_PARAMETERS angstrom
4.348 0.000 0.000
0.000 4.348 0.000
0.000 0.000 10.617
ATOMIC_POSITIONS angstrom
Sr 0.000 2.174 2.607
Sr 2.174 0.000 8.009
Zn 0.000 0.000 5.308
Zn 0.000 2.174 9.254
Zn 2.174 0.000 1.362
Zn 2.174 2.174 5.308
Pd 2.174 2.174 0.000
Pt 0.000 0.000 0.000
Pt 0.000 2.174 6.716
Pt 2.174 0.000 3.900
```

# 7
# La4Sm4Er3

A relaxed La4Sm4Er3 crystal (PBE-GGA, Alexandria). Values from VASP.

Properties
The calculation puts the formation energy at 73 kJ/mol of formula units. As for the excess energy over the best structure of this formula in the dataset: 0.26 kcal/mol of atoms.

```
&SYSTEM
  ibrav = 0, nat = 11, ntyp = 3
/
ATOMIC_SPECIES
La 138.91 La.upf
Sm 150.36 Sm.upf
Er 167.26 Er.upf
CELL_PARAMETERS angstrom
11.834 -1.854 0.000
11.834 1.854 0.000
-3.315 0.000 8.694
ATOMIC_POSITIONS angstrom
La 1.306 0.000 4.204
La 1.155 0.000 7.668
La 19.197 0.000 1.026
La 19.047 0.000 4.490
Sm -2.365 0.000 7.195
Sm 4.608 0.000 2.784
Sm 15.745 0.000 5.909
Sm 22.718 0.000 1.498
Er 6.479 0.000 7.471
Er 10.176 0.000 4.347
Er 13.874 0.000 1.223
```

# 8
# KS2Br

A relaxed KS2Br crystal (PBE-GGA, Alexandria). Values from VASP.

Properties
As for the excess energy over the best structure of this formula in the dataset: 0.00 kcal/mol of atoms.

```
&SYSTEM
  ibrav = 0, nat = 4, ntyp = 3
/
ATOMIC_SPECIES
K 39.10 K.upf
S 32.06 S.upf
Br 79.90 Br.upf
CELL_PARAMETERS angstrom
2.453 1.416 5.542
-2.453 1.416 5.542
0.000 -2.832 5.542
ATOMIC_POSITIONS angstrom
K 0.000 0.000 0.000
S 0.000 0.000 3.009
S 0.000 0.000 13.616
Br 0.000 0.000 8.313
```

# 9
# Ba2CuGe2

A relaxed Ba2CuGe2 crystal (PBE-GGA, Alexandria). Values from VASP.

Properties
The calculation puts the formation energy at -154 kJ/mol of formula units. As for the excess energy over the best structure of this formula in the dataset: 0.00 kcal/mol of atoms.

```
&SYSTEM
  ibrav = 0, nat = 5, ntyp = 3
/
ATOMIC_SPECIES
Ba 137.33 Ba.upf
Cu 63.55 Cu.upf
Ge 72.64 Ge.upf
CELL_PARAMETERS angstrom
4.668 0.000 0.000
0.000 2.215 7.185
0.000 -2.215 7.185
ATOMIC_POSITIONS angstrom
Ba 0.000 0.000 0.000
Ba 0.000 0.000 3.413
Cu 2.334 0.000 12.128
Ge 2.334 0.000 5.953
Ge 2.334 0.000 8.587
```

# 10
# YbOsF6

A relaxed YbOsF6 crystal (PBE-GGA, Alexandria). Values from VASP.

```
&SYSTEM
  ibrav = 0, nat = 8, ntyp = 3
/
ATOMIC_SPECIES
Yb 173.04 Yb.upf
Os 190.23 Os.upf
F 19.00 F.upf
CELL_PARAMETERS angstrom
2.950 1.703 4.830
-2.950 1.703 4.830
0.000 -3.407 4.830
ATOMIC_POSITIONS angstrom
Yb 0.000 0.000 0.000
Os 0.000 0.000 7.245
F 0.000 -1.605 6.108
F -1.390 0.803 6.108
F -1.390 -0.803 8.381
F 1.390 0.803 6.108
F 1.390 -0.803 8.381
F 0.000 1.605 8.381
```

# 11
# Er5BiAu2

A relaxed Er5BiAu2 crystal (PBE-GGA, Alexandria). Values from VASP.

Properties
The calculation puts the formation energy at -238 kJ/mol of formula units. As for the excess energy over the best structure of this formula in the dataset: 8.94 kcal/mol of atoms.

```
&SYSTEM
  ibrav = 0, nat = 16, ntyp = 3
/
ATOMIC_SPECIES
Er 167.26 Er.upf
Bi 208.98 Bi.upf
Au 196.97 Au.upf
CELL_PARAMETERS angstrom
-3.629 3.629 9.041
3.629 -3.629 9.041
3.629 3.629 -9.041
ATOMIC_POSITIONS angstrom
Er 0.000 0.000 0.000
Er 4.919 1.290 -2.801
Er 1.290 2.339 -2.801
Er 4.919 1.290 2.801
Er 1.290 2.339 2.801
Er 0.000 0.000 9.041
Er 2.339 1.290 6.239
Er -1.290 2.339 6.239
Er 2.339 1.290 11.842
Er -1.290 2.339 11.842
Bi 0.000 0.000 4.520
Bi 0.000 0.000 13.561
Au 4.562 0.933 0.000
Au 0.933 2.696 0.000
Au 2.696 0.933 9.041
Au -0.933 2.696 9.041
```

# 12
# OsPdCl2

A relaxed OsPdCl2 crystal (PBE-GGA, Alexandria). Values from VASP.

Properties
As for the excess energy over the best structure of this formula in the dataset: 3.23 kcal/mol of atoms.

```
&SYSTEM
  ibrav = 0, nat = 8, ntyp = 3
/
ATOMIC_SPECIES
Os 190.23 Os.upf
Pd 106.42 Pd.upf
Cl 35.45 Cl.upf
CELL_PARAMETERS angstrom
-4.079 4.079 2.603
4.079 -4.079 2.603
4.079 4.079 -2.603
ATOMIC_POSITIONS angstrom
Os 0.000 0.000 0.000
Os 0.000 4.079 1.302
Pd 4.079 0.000 1.302
Pd 0.000 0.000 2.603
Cl 0.881 2.040 0.651
Cl -2.040 3.199 1.952
Cl -0.881 6.119 0.651
Cl 2.040 4.960 1.952
```

# 13
# TbErSnIr

A relaxed TbErSnIr crystal (PBE-GGA, Alexandria). Values from VASP.

Properties
The calculation puts the formation energy at -235 kJ/mol of formula units.

```
&SYSTEM
  ibrav = 0, nat = 4, ntyp = 4
/
ATOMIC_SPECIES
Tb 158.93 Tb.upf
Er 167.26 Er.upf
Sn 118.71 Sn.upf
Ir 192.22 Ir.upf
CELL_PARAMETERS angstrom
0.000 3.590 3.590
3.590 0.000 3.590
3.590 3.590 0.000
ATOMIC_POSITIONS angstrom
Tb 0.000 0.000 0.000
Er 3.590 3.590 3.590
Sn 5.385 5.385 5.385
Ir 1.795 1.795 1.795
```

# 14
# Ce2PmHo6Tm3

A relaxed Ce2PmHo6Tm3 crystal (PBE-GGA, Alexandria). Values from VASP.

Properties
The calculation puts the formation energy at 60 kJ/mol of formula units.

```
&SYSTEM
  ibrav = 0, nat = 12, ntyp = 4
/
ATOMIC_SPECIES
Ce 140.12 Ce.upf
Pm 145.00 Pm.upf
Ho 164.93 Ho.upf
Tm 168.93 Tm.upf
CELL_PARAMETERS angstrom
3.051 -5.284 0.000
3.051 5.284 0.000
-2.036 0.000 11.497
ATOMIC_POSITIONS angstrom
Ce 3.051 3.522 0.000
Ce 3.051 -3.522 0.000
Pm 3.051 0.000 0.000
Ho -0.013 1.775 8.605
Ho 1.005 0.000 2.891
Ho -0.013 -1.775 8.605
Ho 4.080 1.775 2.892
Ho 3.061 0.000 8.606
Ho 4.080 -1.775 2.892
Tm -1.018 0.000 5.748
Tm 2.033 1.758 5.748
Tm 2.033 -1.758 5.748
```

# 15
# LiPuNb

A relaxed LiPuNb crystal (PBE-GGA, Alexandria). Values from VASP.

Properties
The calculation puts the formation energy at 74 kJ/mol of formula units.

```
&SYSTEM
  ibrav = 0, nat = 6, ntyp = 3
/
ATOMIC_SPECIES
Li 6.94 Li.upf
Pu 244.00 Pu.upf
Nb 92.91 Nb.upf
CELL_PARAMETERS angstrom
-1.424 1.424 15.700
1.424 -1.424 15.700
1.424 1.424 -15.700
ATOMIC_POSITIONS angstrom
Li 0.000 0.000 1.372
Li 0.000 0.000 30.027
Pu 0.000 0.000 11.557
Pu 0.000 0.000 19.843
Nb 0.000 0.000 6.644
Nb 0.000 0.000 24.756
```

# 16
# Dy3Tm

A relaxed Dy3Tm crystal (PBE-GGA, Alexandria). Values from VASP.

Properties
The calculation puts the formation energy at 8 kJ/mol of formula units. As for the excess energy over the best structure of this formula in the dataset: 0.40 kcal/mol of atoms.

```
&SYSTEM
  ibrav = 0, nat = 4, ntyp = 2
/
ATOMIC_SPECIES
Dy 162.50 Dy.upf
Tm 168.93 Tm.upf
CELL_PARAMETERS angstrom
4.980 0.000 0.000
0.000 4.980 0.000
0.000 0.000 4.980
ATOMIC_POSITIONS angstrom
Dy 0.000 0.000 2.490
Dy 0.000 2.490 0.000
Dy 2.490 0.000 0.000
Tm 2.490 2.490 2.490
```

# 17
# ReP

A relaxed ReP crystal (PBE-GGA, Alexandria). Values from VASP.

Properties
The calculation puts the formation energy at -42 kJ/mol of formula units. As for the excess energy over the best structure of this formula in the dataset: 1.67 kcal/mol of atoms.

```
&SYSTEM
  ibrav = 0, nat = 12, ntyp = 2
/
ATOMIC_SPECIES
Re 186.21 Re.upf
P 30.97 P.upf
CELL_PARAMETERS angstrom
2.987 0.000 0.000
0.000 10.920 0.000
0.000 0.000 5.503
ATOMIC_POSITIONS angstrom
Re 0.747 1.249 0.005
Re 0.747 4.211 0.005
Re 0.747 8.190 3.762
Re 2.240 2.730 1.740
Re 2.240 6.709 5.497
Re 2.240 9.672 5.497
P 0.747 2.730 3.641
P 0.747 5.804 3.720
P 0.747 10.576 3.720
P 2.240 0.344 1.783
P 2.240 5.116 1.783
P 2.240 8.190 1.862
```

# 18
# LiHoSn2Te4

A relaxed LiHoSn2Te4 crystal (PBE-GGA, Alexandria). Values from VASP.

```
&SYSTEM
  ibrav = 0, nat = 8, ntyp = 4
/
ATOMIC_SPECIES
Li 6.94 Li.upf
Ho 164.93 Ho.upf
Sn 118.71 Sn.upf
Te 127.60 Te.upf
CELL_PARAMETERS angstrom
7.626 0.000 0.000
0.000 4.432 0.000
-2.511 0.000 7.341
ATOMIC_POSITIONS angstrom
Li 0.000 0.000 0.000
Ho 3.813 2.216 0.000
Sn -1.255 2.216 3.671
Sn 2.558 0.000 3.671
Te 1.287 2.216 1.727
Te 0.016 0.000 5.603
Te 5.099 0.000 1.738
Te 3.828 2.216 5.615
```

# 19
# PaZnInFe

A relaxed PaZnInFe crystal (PBE-GGA, Alexandria). Values from VASP.

Properties
The calculation puts the formation energy at 28 kJ/mol of formula units.

```
&SYSTEM
  ibrav = 0, nat = 4, ntyp = 4
/
ATOMIC_SPECIES
Pa 231.04 Pa.upf
Zn 65.41 Zn.upf
In 114.82 In.upf
Fe 55.84 Fe.upf
CELL_PARAMETERS angstrom
0.000 3.351 3.351
3.351 0.000 3.351
3.351 3.351 0.000
ATOMIC_POSITIONS angstrom
Pa 0.000 0.000 0.000
Zn 5.026 5.026 5.026
In 3.351 3.351 3.351
Fe 1.675 1.675 1.675
```

# 20
# NaGa2Re

A relaxed NaGa2Re crystal (PBE-GGA, Alexandria). Values from VASP.

Properties
The calculation puts the formation energy at 288 kJ/mol of formula units. As for the excess energy over the best structure of this formula in the dataset: 8.44 kcal/mol of atoms.

```
&SYSTEM
  ibrav = 0, nat = 8, ntyp = 3
/
ATOMIC_SPECIES
Na 22.99 Na.upf
Ga 69.72 Ga.upf
Re 186.21 Re.upf
CELL_PARAMETERS angstrom
-2.458 2.458 8.333
2.458 -2.458 8.333
2.458 2.458 -8.333
ATOMIC_POSITIONS angstrom
Na 0.000 0.000 0.000
Na 0.000 2.458 4.166
Ga 1.229 -0.522 6.249
Ga 1.936 1.229 2.083
Ga 1.229 2.980 -2.083
Ga 0.522 1.229 10.416
Re 2.458 0.000 4.166
Re 0.000 0.000 8.333
```

Number 1: energy -5.466 eV per atom. Number 2: energy -9.371 eV per atom. Number 3: energy -4.307 eV per atom. Number 4: energy -6.264 eV per atom. Number 5: energy -3.457 eV per atom. Number 6: energy -3.851 eV per atom. Number 7: energy -4.683 eV per atom. Number 8: energy -2.726 eV per atom. Number 9: energy -3.754 eV per atom. Number 10: energy -5.615 eV per atom. Number 11: energy -4.464 eV per atom. Number 12: energy -4.422 eV per atom. Number 13: energy -6.124 eV per atom. Number 14: energy -4.740 eV per atom. Number 15: energy -8.515 eV per atom. Number 16: energy -4.548 eV per atom. Number 17: energy -9.145 eV per atom. Number 18: energy -4.114 eV per atom. Number 19: energy -5.420 eV per atom. Number 20: energy -4.208 eV per atom.